[1]
Crystalline Ce2ThIr3 at its relaxed geometry, computed with GGA-PBE.

Results
Crystal system ... orthorhombic
M_tot ... 0.00 μB/f.u.
Calculated density ... 12.94 Mg/m³
Uncorrected energy ... -0.610 Ry/atom

abc: 3.770 10.276 7.211
angles: 90.00 90.00 90.00
Positions (direct):
Ce (0.000, 0.001, 0.000)
Ce (0.000, 0.999, 0.500)
Ce (0.500, 0.330, 0.511)
Ce (0.500, 0.670, 0.011)
Th (0.500, 0.336, 0.989)
Th (0.500, 0.664, 0.489)
Ir (0.000, 0.232, 0.253)
Ir (0.000, 0.482, 0.749)
Ir (0.000, 0.518, 0.249)
Ir (0.000, 0.768, 0.753)
Ir (0.500, 0.105, 0.751)
Ir (0.500, 0.895, 0.251)

=====

[2]
Crystalline Nb3Si2 at its relaxed geometry, computed with GGA-PBE.

Results
Crystal system ... tetragonal
M_tot ... 0.00 μB/f.u.
Calculated density ... 6.92 Mg/m³
Energy relative to the elements, uncorrected ... -0.664 eV per atom

abc: 6.764 6.764 3.514
angles: 90.00 90.00 90.00
Positions (direct):
Nb (0.000, 0.000, 0.000)
Nb (0.171, 0.329, 0.500)
Nb (0.329, 0.829, 0.500)
Nb (0.500, 0.500, 0.000)
Nb (0.671, 0.171, 0.500)
Nb (0.829, 0.671, 0.500)
Si (0.128, 0.628, 0.000)
Si (0.372, 0.128, 0.000)
Si (0.628, 0.872, 0.000)
Si (0.872, 0.372, 0.000)

=====

[3]
Crystalline LiRu2Cl at its relaxed geometry, computed with GGA-PBE.

Results
E above lowest polymorph ... 476 meV/atom
Crystal system ... orthorhombic
M_tot ... 0.00 μB/f.u.
Calculated density ... 6.41 Mg/m³
Energy relative to the elements, uncorrected ... 0.419 eV per atom

abc: 2.850 4.221 5.263
angles: 90.00 90.00 90.00
Positions (direct):
Li (0.000, 0.000, 0.000)
Ru (0.000, 0.500, 0.500)
Ru (0.500, 0.000, 0.500)
Cl (0.500, 0.500, 0.000)

=====

[4]
Crystalline Ac3Dy3HoSe8 at its relaxed geometry, computed with GGA-PBE.

Results
Crystal system ... trigonal
M_tot ... 0.00 μB/f.u.
Calculated density ... 7.54 Mg/m³
Energy relative to the elements, uncorrected ... -1.854 eV per atom

abc: 8.627 8.627 8.627
angles: 57.94 57.94 57.94
Positions (direct):
Ac (0.000, 0.500, 0.500)
Ac (0.500, 0.000, 0.500)
Ac (0.500, 0.500, 0.000)
Dy (0.000, 0.000, 0.500)
Dy (0.000, 0.500, 0.000)
Dy (0.500, 0.000, 0.000)
Ho (0.500, 0.500, 0.500)
Se (0.238, 0.744, 0.744)
Se (0.240, 0.240, 0.240)
Se (0.256, 0.256, 0.762)
Se (0.256, 0.762, 0.256)
Se (0.744, 0.238, 0.744)
Se (0.744, 0.744, 0.238)
Se (0.760, 0.760, 0.760)
Se (0.762, 0.256, 0.256)

=====

[5]
Crystalline BaGa2Pd at its relaxed geometry, computed with GGA-PBE.

Results
Crystal system ... orthorhombic
M_tot ... 0.00 μB/f.u.
Calculated density ... 6.36 Mg/m³
Uncorrected energy ... -0.285 Ry/atom

abc: 4.319 7.128 6.495
angles: 90.00 90.00 90.00
Positions (direct):
Ba (0.250, 0.250, 0.108)
Ba (0.750, 0.750, 0.892)
Ga (0.250, 0.046, 0.627)
Ga (0.250, 0.454, 0.627)
Ga (0.750, 0.546, 0.373)
Ga (0.750, 0.954, 0.373)
Pd (0.250, 0.750, 0.386)
Pd (0.750, 0.250, 0.614)

=====

[6]
Crystalline ZrTeBr2 at its relaxed geometry, computed with GGA-PBE.

Results
E above lowest polymorph ... 381 meV/atom
Crystal system ... tetragonal
M_tot ... 0.05 μB/f.u.
Calculated density ... 5.65 Mg/m³
Energy relative to the elements, uncorrected ... -0.700 eV per atom

abc: 3.282 3.282 10.331
angles: 90.00 90.00 90.00
Positions (direct):
Zr (0.000, 0.000, 0.000)
Te (0.000, 0.000, 0.500)
Br (0.500, 0.500, 0.161)
Br (0.500, 0.500, 0.839)

=====

[7]
Crystalline V2TcC at its relaxed geometry, computed with GGA-PBE.

Results
Crystal system ... trigonal
M_tot ... 0.00 μB/f.u.
Calculated density ... 7.52 Mg/m³
Uncorrected energy ... -0.721 Ry/atom

abc: 6.735 6.735 6.735
angles: 24.66 24.66 24.66
Positions (direct):
V (0.226, 0.226, 0.226)
V (0.774, 0.774, 0.774)
Tc (0.000, 0.000, 0.000)
C (0.500, 0.500, 0.500)

=====

[8]
Crystalline Na2SrTlPd at its relaxed geometry, computed with GGA-PBE.

Results
Crystal system ... tetragonal
M_tot ... 0.00 μB/f.u.
Calculated density ... 4.64 Mg/m³
Uncorrected energy ... -0.181 Ry/atom

abc: 5.445 5.445 5.367
angles: 90.00 90.00 90.00
Positions (direct):
Na (0.000, 0.500, 0.000)
Na (0.500, 0.000, 0.000)
Sr (0.000, 0.000, 0.500)
Tl (0.500, 0.500, 0.500)
Pd (0.500, 0.500, 0.000)

=====

[9]
Crystalline MgZrH3 at its relaxed geometry, computed with GGA-PBE.

Results
E above lowest polymorph ... 213 meV/atom
Crystal system ... cubic
M_tot ... 0.00 μB/f.u.
Calculated density ... 3.39 Mg/m³

abc: 3.873 3.873 3.873
angles: 90.00 90.00 90.00
Positions (direct):
Mg (0.000, 0.000, 0.000)
Zr (0.500, 0.500, 0.500)
H (0.000, 0.500, 0.500)
H (0.500, 0.000, 0.500)
H (0.500, 0.500, 0.000)

=====

[10]
Crystalline Ca2Sm4Bi3N2 at its relaxed geometry, computed with GGA-PBE.

Results
Crystal system ... tetragonal
M_tot ... 0.00 μB/f.u.
Calculated density ... 7.27 Mg/m³
Energy relative to the elements, uncorrected ... -1.021 eV per atom

abc: 13.363 13.363 13.363
angles: 159.04 159.04 29.81
Positions (direct):
Ca (0.193, 0.193, 0.000)
Ca (0.807, 0.807, 0.000)
Sm (0.087, 0.587, 0.500)
Sm (0.413, 0.913, 0.500)
Sm (0.587, 0.087, 0.500)
Sm (0.913, 0.413, 0.500)
Bi (0.321, 0.321, 0.000)
Bi (0.500, 0.500, 0.000)
Bi (0.679, 0.679, 0.000)
N (0.100, 0.100, 0.000)
N (0.900, 0.900, 0.000)

=====

[11]
Crystalline CeEr2Tl at its relaxed geometry, computed with GGA-PBE.

Results
E above lowest polymorph ... 9 meV/atom
Crystal system ... tetragonal
M_tot ... 1.13 μB/f.u.
Calculated density ... 10.06 Mg/m³

abc: 4.897 4.897 4.673
angles: 90.00 90.00 90.00
Positions (direct):
Ce (0.000, 0.000, 0.000)
Er (0.000, 0.500, 0.500)
Er (0.500, 0.000, 0.500)
Tl (0.500, 0.500, 0.000)